# 1
A relaxed structure of HfB3Au, computed with PBE-GGA.

SG: Pm-3m (221)
Final energy, eV/f.u.: -25.788
Fermi-level density of states, states/eV per cell: 4.00
ΔE_f, eV per atom: 1.4950
E above lowest polymorph, eV/atom: 0.000

extended XYZ file:
```
5
Lattice="-0.458 3.906 -1.316 -0.329 -1.354 -3.905 -4.108 -0.327 0.459" Properties=species:S:1:pos:R:3 pbc="T T T"
B -0.229 1.953 -0.658
B -2.054 -0.164 0.230
B -0.164 -0.677 -1.953
Au 0.000 0.000 0.000
Hf -2.447 1.112 -2.381
```

---

# 2
A relaxed structure of NaLi2SmBr6, computed with PBE-GGA.

SG: R3 (146)
Final energy, eV/f.u.: -36.483
Fermi-level density of states, states/eV per cell: 0.00
Uncorrected formation energy, meV per atom: -1658.0

extended XYZ file:
```
10
Lattice="-1.082 6.673 2.332 -5.202 1.340 4.719 2.092 1.633 7.261" Properties=species:S:1:pos:R:3 pbc="T T T"
Na -3.933 7.430 9.809
Br -1.406 4.780 4.349
Br -4.449 3.233 6.617
Br -0.552 2.593 7.549
Br -3.624 7.246 6.760
Br -2.691 4.762 9.830
Br 0.102 6.334 7.780
Li -2.266 4.865 6.956
Li 1.954 1.668 7.098
Sm -1.937 2.632 2.535
```

---

# 3
A relaxed structure of HgTeAs2, computed with PBE-GGA.

SG: Immm (71)
Final energy, eV/f.u.: -11.061
Fermi-level density of states, states/eV per cell: 2.80
Uncorrected formation energy, meV per atom: 420.5
E above lowest polymorph, eV/atom: 0.332

extended XYZ file:
```
4
Lattice="6.044 0.073 -0.063 2.846 5.333 0.063 -4.030 -3.385 2.973" Properties=species:S:1:pos:R:3 pbc="T T T"
As 0.271 0.165 0.000
As 4.174 2.538 0.000
Te 1.631 2.325 1.518
Hg 3.230 -0.305 1.455
```

---

# 4
A relaxed structure of SrCaYRu2, computed with PBE-GGA.

SG: P4/mmm (123)
Final energy, eV/f.u.: -21.728
Fermi-level density of states, states/eV per cell: 4.44
ΔE_f, eV per atom: 1.3942

extended XYZ file:
```
5
Lattice="4.993 0.000 0.000 0.000 5.126 0.000 0.000 0.000 4.993" Properties=species:S:1:pos:R:3 pbc="T T T"
Ca 0.000 2.563 0.000
Ru 2.496 0.000 0.000
Ru 0.000 0.000 2.496
Sr 0.000 0.000 0.000
Y 2.496 2.563 2.496
```